Run A
Ni2Ir2Rh3: relaxed, GGA-PBE.

Summary:
Total magnetization (Bohr magnetons per cell): 1.011
Space-group type: P2/m

a b c (Å): 4.188 2.589 9.526
angles (deg): 90.00 102.67 90.00
Fractional positions:
Ni (0.427, 0.500, 0.856)
Ni (0.573, 0.500, 0.144)
Ir (0.135, 0.000, 0.270)
Ir (0.865, 0.000, 0.730)
Rh (0.294, 0.000, 0.588)
Rh (0.000, 0.000, 0.000)
Rh (0.706, 0.000, 0.412)

---

Run B
Ni2Ir2Rh3: relaxed, GGA-PBE.

Summary:
Total magnetization (Bohr magnetons per cell): 0.000
Space-group type: P-1

a b c (Å): 4.672 4.603 6.525
angles (deg): 62.28 61.52 99.83
Fractional positions:
Ni (0.284, 0.433, 0.426)
Ni (0.716, 0.567, 0.574)
Ir (0.573, 0.856, 0.859)
Ir (0.427, 0.144, 0.141)
Rh (0.000, 0.000, 0.000)
Rh (0.854, 0.283, 0.293)
Rh (0.146, 0.717, 0.707)

---

Which is the most stable structure? run B is the most stable.

---

Run A
Ni2IrRh6: relaxed, GGA-PBE.

Summary:
Total magnetization (Bohr magnetons per cell): 1.147
Space-group type: R3m

a b c (Å): 5.268 5.268 6.865
angles (deg): 67.44 67.44 60.00
Fractional positions:
Ni (0.772, 0.772, 0.685)
Ni (0.558, 0.558, 0.327)
Ir (0.335, 0.335, 0.995)
Rh (0.782, 0.269, 0.681)
Rh (0.269, 0.782, 0.681)
Rh (0.269, 0.269, 0.681)
Rh (0.057, 0.568, 0.318)
Rh (0.057, 0.057, 0.318)
Rh (0.568, 0.057, 0.318)

---

Run B
Ni2IrRh6: relaxed, GGA-PBE.

Summary:
Total magnetization (Bohr magnetons per cell): 0.237
Space-group type: P-1

a b c (Å): 2.692 7.344 7.053
angles (deg): 77.69 67.52 79.43
Fractional positions:
Ni (0.941, 0.943, 0.840)
Ni (0.059, 0.057, 0.160)
Ir (0.000, 0.500, 0.500)
Rh (0.135, 0.604, 0.813)
Rh (0.865, 0.396, 0.187)
Rh (0.264, 0.722, 0.127)
Rh (0.373, 0.843, 0.455)
Rh (0.736, 0.278, 0.873)
Rh (0.627, 0.157, 0.545)

---

Which is the most stable structure? run B is the most stable.

---

Run A
Ni2Ir2Rh: relaxed, GGA-PBE.

Summary:
Total magnetization (Bohr magnetons per cell): 1.031
Space-group type: P-3m1

a b c (Å): 2.690 2.690 10.577
angles (deg): 90.00 90.00 120.00
Fractional positions:
Ni (0.333, 0.667, 0.907)
Ni (0.667, 0.333, 0.093)
Ir (0.667, 0.333, 0.712)
Ir (0.333, 0.667, 0.288)
Rh (0.000, 0.000, 0.500)

---

Run B
Ni2Ir2Rh: relaxed, GGA-PBE.

Summary:
Total magnetization (Bohr magnetons per cell): 0.000
Space-group type: C2/m

a b c (Å): 4.621 4.621 5.960
angles (deg): 48.94 48.94 47.68
Fractional positions:
Ni (0.802, 0.802, 0.598)
Ni (0.198, 0.198, 0.402)
Ir (0.403, 0.403, 0.794)
Ir (0.597, 0.597, 0.206)
Rh (0.000, 0.000, 0.000)

---

Run C
Ni2Ir2Rh: relaxed, GGA-PBE.

Summary:
Total magnetization (Bohr magnetons per cell): 3.334
Space-group type: P4/mbm

a b c (Å): 7.032 7.032 2.724
angles (deg): 90.00 90.00 90.00
Fractional positions:
Ni (0.379, 0.879, 0.000)
Ni (0.879, 0.621, 0.000)
Ni (0.621, 0.121, 0.000)
Ni (0.121, 0.379, 0.000)
Ir (0.176, 0.676, 0.500)
Ir (0.676, 0.824, 0.500)
Ir (0.824, 0.324, 0.500)
Ir (0.324, 0.176, 0.500)
Rh (0.000, 0.000, 0.000)
Rh (0.500, 0.500, 0.000)

---

Run D
Ni2Ir2Rh: relaxed, GGA-PBE.

Summary:
Total magnetization (Bohr magnetons per cell): 0.000
Space-group type: P4/mbm

a b c (Å): 7.095 7.095 2.726
angles (deg): 90.00 90.00 90.00
Fractional positions:
Ni (0.167, 0.667, 0.500)
Ni (0.667, 0.833, 0.500)
Ni (0.833, 0.333, 0.500)
Ni (0.333, 0.167, 0.500)
Ir (0.370, 0.870, 0.000)
Ir (0.870, 0.630, 0.000)
Ir (0.630, 0.130, 0.000)
Ir (0.130, 0.370, 0.000)
Rh (0.000, 0.000, 0.000)
Rh (0.500, 0.500, 0.000)

---

Which is the most stable structure? run B is the most stable.